No. 1
InGa2Ir2 | the Alexandria database | PBE | optimized geometry; polymorph energy (0 for the lowest one) = 102 meV per atom
1.0
-3.293 -3.055 -4.434
4.720 -3.611 -2.127
-1.422 -1.826 4.498
In Ga Ir
2 4 4
Cartesian
-1.120 -6.291 -1.870
1.125 -2.201 -0.192
3.068 -4.421 -0.840
0.604 -5.212 0.904
-3.063 -4.072 -1.222
-0.599 -3.280 -2.967
-0.492 -3.051 1.796
-1.502 -2.019 -0.948
1.507 -6.474 -1.114
0.497 -5.441 -3.859

***

No. 2
## CsGaHg2 (PBE)

Data for CsGaHg2 after structural relaxation.

POSCAR file:
```
CsGaHg2
1.0
3.903 0.000 0.000
0.000 3.903 0.000
0.000 0.000 8.459
Cs Hg Ga
1 2 1
Cartesian
1.951 1.951 4.230
0.000 0.000 6.890
0.000 0.000 1.569
1.951 1.951 0.000
```

***

No. 3
ZnW3 | the Alexandria database | PBE | optimized geometry; polymorph energy (0 for the lowest one) = 183 meV per atom
1.0
-4.626 3.137 6.499
-5.556 6.223 1.973
2.979 -6.344 -4.936
Zn W
2 6
Cartesian
-3.819 3.510 3.177
-6.364 5.850 5.295
-0.823 -1.603 0.782
-1.273 1.170 1.059
-8.910 8.190 7.413
-3.369 0.737 2.900
-3.834 2.279 0.636
-1.288 -0.061 -1.482

***

no.,energy (eV/atom),spin magnetization (Bohr magnetons per cell)
1,-5.490,0.0
2,-1.161,0.0
3,-9.700,0.0